The following is a PBEsol calculation of a relaxed structure of AlRe3Mo, from Alexandria.

Unit cell a=4.347 b=4.347 c=4.347 alpha=90.00 beta=90.00 gamma=90.00
Space group Pm-3m (No. 221)
Unique sites:
Al  0.000  0.000  0.000
Re  0.000  0.000  0.500
Mo  0.500  0.500  0.500

Values from the calculation:
* calculated volume: 82.13 Å³/cell
* ΔE_f: 1769 meV/atom